Below is crystalline NbCoReI at its relaxed geometry, with properties calculated at the PBE-GGA level.

Output
Crystal system   monoclinic
Total magnetization   1.39 μB per cell
E_form (uncorrected)   0.504 eV per atom
DOS at the Fermi energy   3.11 states/eV/cell
E above lowest polymorph   27.5 meV per atom
E_tot   -29.16 eV/f.u.

Lattice parameters (Å, degrees): 3.958 3.960 6.933 106.53 90.04 119.96
Last column: magnetic moment on the atom in μB.
Fractional positions:
I (0.259, 0.451, 0.690)  0.01
Co (0.089, 0.112, 0.181)  0.95
Re (0.400, 0.735, 0.115)  0.16
Nb (0.816, 0.567, 0.364)  0.21

Below is crystalline InWAu2 at its relaxed geometry, with properties calculated at the PBE-GGA level.

Output
Crystal system   orthorhombic
Total magnetization   0.00 μB per cell
DOS at the Fermi energy   2.68 states/eV/cell
DFT formation energy   39.0 kJ per mole of atoms
E_tot   -20.63 eV/f.u.

Lattice parameters (Å, degrees): 2.919 4.049 6.160 90.00 90.00 90.00
Fractional positions:
Au (0.500, 0.500, 0.245)
Au (0.000, 0.000, 0.989)
W (0.500, 0.500, 0.762)
In (0.000, 0.000, 0.503)

Below is crystalline LaPm2Pr2Y2 at its relaxed geometry, with properties calculated at the PBE-GGA level.

Output
Crystal system   monoclinic
Total magnetization   0.00 μB per cell
DOS at the Fermi energy   12.26 states/eV/cell
DFT formation energy   8.0 kJ per mole of atoms
E_tot   -36.34 eV/f.u.

Lattice parameters (Å, degrees): 3.591 6.229 12.169 71.39 90.00 106.75
Fractional positions:
Y (0.777, 0.554, 0.362)
Y (0.223, 0.446, 0.638)
Pm (0.553, 0.107, 0.228)
Pm (0.447, 0.893, 0.772)
Pr (0.333, 0.666, 0.082)
Pr (0.667, 0.334, 0.918)
La (0.000, 0.000, 0.500)

Below is crystalline KZn4Te at its relaxed geometry, with properties calculated at the PBE-GGA level.

Output
Crystal system   cubic
Total magnetization   0.00 μB per cell
E_form (uncorrected)   0.068 eV per atom
DOS at the Fermi energy   2.85 states/eV/cell
E_tot   -8.93 eV/f.u.

Lattice parameters (Å, degrees): 5.788 5.788 5.788 60.00 60.00 60.00
Fractional positions:
Zn (0.882, 0.373, 0.373)
Zn (0.373, 0.882, 0.373)
Zn (0.373, 0.373, 0.373)
Zn (0.373, 0.373, 0.882)
Te (0.000, 0.000, 0.000)
K (0.750, 0.750, 0.750)

Below is crystalline Na2Sm3HoTe6 at its relaxed geometry, with properties calculated at the PBE-GGA level.

Output
Crystal system   monoclinic
Total magnetization   0.00 μB per cell
E_form (uncorrected)   -1.333 eV per atom
DOS at the Fermi energy   3.82 states/eV/cell
E_tot   -56.22 eV/f.u.

Lattice parameters (Å, degrees): 7.683 7.683 7.759 99.47 99.47 119.95
Fractional positions:
Te (0.410, 0.082, 0.245)
Te (0.243, 0.243, 0.749)
Te (0.590, 0.918, 0.755)
Te (0.757, 0.757, 0.251)
Te (0.082, 0.410, 0.245)
Te (0.918, 0.590, 0.755)
Sm (0.830, 0.170, 0.500)
Sm (0.170, 0.830, 0.500)
Sm (0.500, 0.500, 0.500)
Ho (0.000, 0.000, 0.000)
Na (0.665, 0.335, 0.000)
Na (0.335, 0.665, 0.000)

Below is crystalline Na2CdSn3Pt4 at its relaxed geometry, with properties calculated at the PBE-GGA level.

Output
Crystal system   tetragonal
Total magnetization   0.00 μB per cell
DOS at the Fermi energy   3.48 states/eV/cell
DFT formation energy   -41.2 kJ per mole of atoms
E_tot   -44.00 eV/f.u.

Lattice parameters (Å, degrees): 4.597 4.597 10.844 90.00 90.00 90.00
Fractional positions:
Sn (0.000, 0.500, 0.126)
Sn (0.500, 0.000, 0.874)
Sn (0.000, 0.000, 0.500)
Pt (0.000, 0.500, 0.366)
Pt (0.500, 0.500, 0.000)
Pt (0.000, 0.000, 0.000)
Pt (0.500, 0.000, 0.634)
Cd (0.500, 0.500, 0.500)
Na (0.000, 0.500, 0.760)
Na (0.500, 0.000, 0.240)

Below is crystalline Tl2CdCoCl at its relaxed geometry, with properties calculated at the PBE-GGA level.

Output
Crystal system   tetragonal
Total magnetization   2.18 μB per cell
E_form (uncorrected)   0.681 eV per atom
DOS at the Fermi energy   3.40 states/eV/cell
E_tot   -11.20 eV/f.u.

Lattice parameters (Å, degrees): 5.756 5.272 5.756 90.00 90.00 90.00
Last column: magnetic moment on the atom in μB.
Fractional positions:
Cd (0.000, 0.000, 0.000)  0.00
Tl (0.000, 0.000, 0.500)  -0.01
Tl (0.500, 0.000, 0.000)  -0.02
Co (0.500, 0.500, 0.500)  2.21
Cl (0.000, 0.500, 0.000)  -0.01

Below is crystalline BaCaO3 at its relaxed geometry, with properties calculated at the PBE-GGA level.

Output
Crystal system   cubic
Total magnetization   2.00 μB per cell
E_form (uncorrected)   -1.859 eV per atom
DOS at the Fermi energy   5.34 states/eV/cell
E_tot   -28.09 eV/f.u.

Lattice parameters (Å, degrees): 4.458 4.458 4.458 90.00 90.00 90.00
Last column: magnetic moment on the atom in μB.
Fractional positions:
O (0.500, 0.000, 0.500)  0.60
O (0.500, 0.500, 0.000)  0.64
O (0.000, 0.500, 0.500)  0.44
Ca (0.500, 0.500, 0.500)  0.01
Ba (0.000, 0.000, 0.000)  -0.02

Below is crystalline Sr3Li at its relaxed geometry, with properties calculated at the PBE-GGA level.

Output
Crystal system   cubic
Total magnetization   0.00 μB per cell
DOS at the Fermi energy   3.87 states/eV/cell
DFT formation energy   7.5 kJ per mole of atoms
E above lowest polymorph   37.9 meV per atom
E_tot   -6.65 eV/f.u.

Lattice parameters (Å, degrees): 5.741 5.741 5.741 90.00 90.00 90.00
Fractional positions:
Sr (0.500, 0.500, 0.000)
Sr (0.000, 0.500, 0.500)
Sr (0.500, 0.000, 0.500)
Li (0.000, 0.000, 0.000)

Below is crystalline CoPCl3 at its relaxed geometry, with properties calculated at the PBE-GGA level.

Output
Crystal system   cubic
Total magnetization   0.00 μB per cell
E_form (uncorrected)   0.381 eV per atom
DOS at the Fermi energy   3.09 states/eV/cell
E above lowest polymorph   148.0 meV per atom
E_tot   -16.15 eV/f.u.

Lattice parameters (Å, degrees): 4.540 4.540 4.540 90.00 90.00 90.00
Fractional positions:
Cl (0.500, 0.000, 0.000)
Cl (0.000, 0.500, 0.000)
Cl (0.000, 0.000, 0.500)
Co (0.000, 0.000, 0.000)
P (0.500, 0.500, 0.500)

Below is crystalline ZrSc2Ni at its relaxed geometry, with properties calculated at the PBE-GGA level.

Output
Crystal system   orthorhombic
Total magnetization   0.00 μB per cell
DOS at the Fermi energy   5.49 states/eV/cell
DFT formation energy   2.7 kJ per mole of atoms
E above lowest polymorph   277.2 meV per atom
E_tot   -26.88 eV/f.u.

Lattice parameters (Å, degrees): 4.842 4.842 3.346 90.01 90.01 90.35
Fractional positions:
Sc (0.000, 0.000, 0.000)
Sc (0.500, 0.500, 0.000)
Zr (0.500, 0.000, 0.500)
Ni (0.000, 0.500, 0.500)

Below is crystalline DyMn9P4 at its relaxed geometry, with properties calculated at the PBE-GGA level.

Output
Crystal system   tetragonal
Total magnetization   3.33 μB per cell
DOS at the Fermi energy   24.85 states/eV/cell
DFT formation energy   -44.4 kJ per mole of atoms
E_tot   -115.21 eV/f.u.

Lattice parameters (Å, degrees): 7.596 7.596 7.928 118.63 118.63 90.00
Last column: magnetic moment on the atom in μB.
Fractional positions:
Mn (0.809, 0.309, 0.354)  0.14
Mn (0.689, 0.566, 0.000)  0.04
Mn (0.934, 0.811, 0.000)  0.04
Mn (0.189, 0.934, 0.000)  0.04
Mn (0.309, 0.545, 0.354)  0.14
Mn (0.500, 0.000, 0.000)  1.01
Mn (0.045, 0.809, 0.354)  0.14
Mn (0.691, 0.455, 0.646)  0.14
Mn (0.434, 0.689, 0.000)  0.04
Mn (0.566, 0.311, 0.000)  0.04
Mn (0.191, 0.691, 0.646)  0.14
Mn (0.311, 0.434, 0.000)  0.04
Mn (0.811, 0.066, 0.000)  0.04
Mn (0.955, 0.191, 0.646)  0.14
Mn (0.455, 0.955, 0.646)  0.14
Mn (0.545, 0.045, 0.354)  0.14
Mn (0.066, 0.189, 0.000)  0.04
Mn (0.000, 0.500, 0.000)  1.01
P (0.295, 0.795, 0.261)  -0.01
P (0.466, 0.295, 0.261)  -0.01
P (0.966, 0.466, 0.261)  -0.01
P (0.795, 0.966, 0.261)  -0.01
P (0.034, 0.534, 0.739)  -0.01
P (0.534, 0.705, 0.739)  -0.01
P (0.705, 0.205, 0.739)  -0.01
P (0.205, 0.034, 0.739)  -0.01
Dy (0.250, 0.250, 0.500)  -0.03
Dy (0.750, 0.750, 0.500)  -0.03

Below is crystalline PmAlZn2Ir at its relaxed geometry, with properties calculated at the PBE-GGA level.

Output
Crystal system   orthorhombic
Total magnetization   0.00 μB per cell
DOS at the Fermi energy   3.79 states/eV/cell
DFT formation energy   -41.2 kJ per mole of atoms
E_tot   -22.04 eV/f.u.

Lattice parameters (Å, degrees): 3.896 4.365 6.217 110.55 108.26 90.00
Fractional positions:
Pm (0.451, 0.451, 0.901)
Zn (0.055, 0.055, 0.110)
Zn (0.703, 0.203, 0.405)
Ir (0.182, 0.682, 0.365)
Al (0.822, 0.822, 0.643)

Below is crystalline NdScCd at its relaxed geometry, with properties calculated at the PBE-GGA level.

Output
Crystal system   tetragonal
Total magnetization   0.52 μB per cell
DOS at the Fermi energy   3.72 states/eV/cell
DFT formation energy   -16.5 kJ per mole of atoms
E above lowest polymorph   0.0 meV per atom
E_tot   -12.53 eV/f.u.

Lattice parameters (Å, degrees): 3.518 3.518 6.961 104.64 104.64 90.00
Last column: magnetic moment on the atom in μB.
Fractional positions:
Sc (0.318, 0.318, 0.635)  0.21
Nd (0.002, 0.002, 0.003)  0.09
Cd (0.681, 0.681, 0.362)  0.00

Below is crystalline CsLiAgF6 at its relaxed geometry, with properties calculated at the PBE-GGA level.

Output
Crystal system   monoclinic
Total magnetization   1.04 μB per cell
E_form (uncorrected)   -1.811 eV per atom
DOS at the Fermi energy   0.54 states/eV/cell
E_tot   -33.15 eV/f.u.

Lattice parameters (Å, degrees): 5.531 5.411 6.591 89.70 89.39 59.23
Last column: magnetic moment on the atom in μB.
Fractional positions:
Cs (0.002, 0.997, 0.000)  0.01
F (0.362, 0.619, 0.333)  0.04
F (0.624, 0.384, 0.685)  0.23
F (0.019, 0.619, 0.667)  0.04
F (0.623, 0.013, 0.332)  0.03
F (0.992, 0.384, 0.315)  0.23
F (0.364, 0.012, 0.667)  0.03
Ag (0.336, 0.329, 0.500)  0.36
Li (0.678, 0.644, 0.500)  0.00

Below is crystalline SrSBrCl2 at its relaxed geometry, with properties calculated at the PBE-GGA level.

Output
Crystal system   tetragonal
Total magnetization   0.00 μB per cell
E_form (uncorrected)   -0.585 eV per atom
DOS at the Fermi energy   3.06 states/eV/cell
E above lowest polymorph   26.1 meV per atom
E_tot   -14.10 eV/f.u.

Lattice parameters (Å, degrees): 5.466 5.466 4.884 90.00 90.00 90.00
Fractional positions:
Cl (0.000, 0.500, 0.000)
Cl (0.500, 0.000, 0.000)
Sr (0.500, 0.500, 0.500)
S (0.000, 0.000, 0.500)
Br (0.000, 0.000, 0.000)

Below is crystalline KMnCoSe3 at its relaxed geometry, with properties calculated at the PBE-GGA level.

Output
Crystal system   monoclinic
Total magnetization   7.02 μB per cell
E_form (uncorrected)   -0.564 eV per atom
DOS at the Fermi energy   6.98 states/eV/cell
E_tot   -31.21 eV/f.u.

Lattice parameters (Å, degrees): 3.692 8.543 9.429 113.95 90.00 90.00
Last column: magnetic moment on the atom in μB.
Fractional positions:
Se (0.250, 0.524, 0.862)  -0.11
Se (0.750, 0.873, 0.135)  -0.04
Se (0.750, 0.476, 0.138)  -0.11
Se (0.250, 0.127, 0.865)  -0.04
Se (0.250, 0.785, 0.445)  -0.02
Se (0.750, 0.215, 0.555)  -0.02
K (0.750, 0.770, 0.741)  0.00
K (0.250, 0.230, 0.259)  0.00
Co (0.250, 0.080, 0.603)  0.73
Co (0.750, 0.920, 0.397)  0.73
Mn (0.750, 0.314, 0.844)  2.83
Mn (0.250, 0.686, 0.156)  2.83

Below is crystalline ZnSn2Sb at its relaxed geometry, with properties calculated at the PBE-GGA level.

Output
Crystal system   tetragonal
Total magnetization   0.00 μB per cell
E_form (uncorrected)   0.099 eV per atom
DOS at the Fermi energy   3.65 states/eV/cell
E above lowest polymorph   16.8 meV per atom
E_tot   -13.01 eV/f.u.

Lattice parameters (Å, degrees): 6.499 6.499 7.774 65.29 65.29 90.00
Fractional positions:
Sb (0.000, 0.000, 0.000)
Sb (0.750, 0.250, 0.500)
Sn (0.594, 0.125, 0.250)
Sn (0.875, 0.844, 0.750)
Sn (0.375, 0.406, 0.750)
Sn (0.156, 0.625, 0.250)
Zn (0.500, 0.500, 0.000)
Zn (0.250, 0.750, 0.500)

Below is crystalline CeSb3Pd3 at its relaxed geometry, with properties calculated at the PBE-GGA level.

Output
Crystal system   trigonal
Total magnetization   0.55 μB per cell
E_form (uncorrected)   -0.517 eV per atom
DOS at the Fermi energy   13.46 states/eV/cell
E above lowest polymorph   0.0 meV per atom
E_tot   -37.50 eV/f.u.

Lattice parameters (Å, degrees): 8.206 8.206 7.501 56.84 56.84 60.00
Last column: magnetic moment on the atom in μB.
Fractional positions:
Pd (0.917, 0.263, 0.259)  0.00
Pd (0.439, 0.083, 0.741)  0.00
Pd (0.263, 0.561, 0.259)  0.00
Pd (0.561, 0.917, 0.259)  0.00
Pd (0.737, 0.439, 0.741)  0.00
Pd (0.083, 0.737, 0.741)  0.00
Sb (0.601, 0.222, 0.269)  0.00
Sb (0.222, 0.908, 0.269)  0.00
Sb (0.908, 0.601, 0.269)  0.00
Sb (0.092, 0.399, 0.731)  0.00
Sb (0.399, 0.778, 0.731)  0.00
Sb (0.778, 0.092, 0.731)  0.00
Ce (0.667, 0.667, 0.999)  0.25
Ce (0.333, 0.333, 0.001)  0.25

Below is crystalline AgPd2Au at its relaxed geometry, with properties calculated at the PBE-GGA level.

Output
Crystal system   tetragonal
Total magnetization   0.00 μB per cell
DOS at the Fermi energy   2.30 states/eV/cell
DFT formation energy   -5.8 kJ per mole of atoms
E above lowest polymorph   0.0 meV per atom
E_tot   -16.75 eV/f.u.

Lattice parameters (Å, degrees): 4.050 4.050 4.951 114.12 114.14 90.00
Fractional positions:
Ag (0.000, 0.500, 0.000)
Pd (0.750, 0.750, 0.500)
Pd (0.250, 0.250, 0.500)
Au (0.500, 0.000, 0.000)

Below is crystalline Dy2Cu4S5 at its relaxed geometry, with properties calculated at the PBE-GGA level.

Output
Crystal system   trigonal
Total magnetization   0.00 μB per cell
E_form (uncorrected)   -0.911 eV per atom
DOS at the Fermi energy   3.93 states/eV/cell
E_tot   -56.24 eV/f.u.

Lattice parameters (Å, degrees): 3.825 3.825 16.097 83.18 83.18 60.00
Fractional positions:
S (0.235, 0.235, 0.294)
S (0.500, 0.500, 0.500)
S (0.765, 0.765, 0.706)
S (0.366, 0.366, 0.902)
S (0.634, 0.634, 0.098)
Cu (0.586, 0.586, 0.241)
Cu (0.312, 0.312, 0.065)
Cu (0.414, 0.414, 0.759)
Cu (0.688, 0.688, 0.935)
Dy (0.868, 0.868, 0.397)
Dy (0.132, 0.132, 0.603)

Below is crystalline TbSm6Tm2Th at its relaxed geometry, with properties calculated at the PBE-GGA level.

Output
Crystal system   monoclinic
Total magnetization   0.00 μB per cell
DOS at the Fermi energy   28.87 states/eV/cell
DFT formation energy   14.0 kJ per mole of atoms
E_tot   -47.85 eV/f.u.

Lattice parameters (Å, degrees): 9.546 8.816 8.816 115.91 93.48 93.48
Fractional positions:
Tb (0.750, 0.591, 0.409)
Tb (0.250, 0.409, 0.591)
Sm (0.883, 0.295, 0.517)
Sm (0.941, 0.889, 0.236)
Sm (0.186, 0.571, 0.010)
Sm (0.686, 0.010, 0.571)
Sm (0.383, 0.517, 0.295)
Sm (0.559, 0.764, 0.111)
Sm (0.314, 0.990, 0.429)
Sm (0.814, 0.429, 0.990)
Sm (0.059, 0.111, 0.764)
Sm (0.441, 0.236, 0.889)
Sm (0.617, 0.483, 0.705)
Sm (0.117, 0.705, 0.483)
Tm (0.053, 0.296, 0.202)
Tm (0.447, 0.798, 0.704)
Tm (0.553, 0.202, 0.296)
Tm (0.947, 0.704, 0.798)
Th (0.750, 0.033, 0.967)
Th (0.250, 0.967, 0.033)

Below is crystalline Tb3PmDy4S8 at its relaxed geometry, with properties calculated at the PBE-GGA level.

Output
Crystal system   trigonal
Total magnetization   0.00 μB per cell
E_form (uncorrected)   -1.999 eV per atom
DOS at the Fermi energy   8.94 states/eV/cell
E_tot   -102.06 eV/f.u.

Lattice parameters (Å, degrees): 7.858 7.865 7.858 119.97 120.00 90.00
Fractional positions:
Pm (0.000, 0.500, 0.000)
Dy (0.000, 0.000, 0.000)
Dy (0.500, 0.000, 0.500)
Dy (0.500, 0.000, 0.000)
Dy (0.000, 0.000, 0.500)
S (0.254, 0.756, 0.508)
S (0.747, 0.756, 0.002)
S (0.253, 0.244, 0.998)
S (0.746, 0.244, 0.998)
S (0.254, 0.756, 0.002)
S (0.746, 0.244, 0.492)
S (0.751, 0.752, 0.502)
S (0.249, 0.248, 0.498)
Tb (0.000, 0.500, 0.500)
Tb (0.500, 0.500, 0.000)
Tb (0.500, 0.500, 0.500)